Material: Mo2AuCl
Method: DFT, PBE-GGA
State: optimized geometry

Lattice parameters (Å, degrees): 6.362 6.362 6.362 90.00 90.00 90.00
Space group Fm-3m (No. 225)
Symmetry-distinct sites (fractional):
Mo  0.250  0.250  0.250 x8
Au  0.000  0.000  0.000 x4
Cl  0.000  0.000  0.500 x4

Output
Total energy   -5.9542 eV/atom
N(E_F)   3.59 states/eV/cell
Polymorph energy (0 for the lowest one)   0.562 eV/atom
Uncorrected formation energy   0.742 eV/atom

***

Material: Mo2AuCl
Method: DFT, PBE-GGA
State: optimized geometry

Lattice parameters (Å, degrees): 3.016 3.016 6.854 90.00 90.00 90.00
Space group P4/mmm (No. 123)
Symmetry-distinct sites (fractional):
Mo  0.000  0.000  0.225 x2
Au  0.500  0.500  0.500 x1
Cl  0.500  0.500  0.000 x1

Output
Total energy   -6.0671 eV/atom
N(E_F)   4.68 states/eV/cell
Polymorph energy (0 for the lowest one)   0.449 eV/atom
Uncorrected formation energy   0.630 eV/atom

***

Material: Mo2AuCl
Method: DFT, PBE-GGA
State: optimized geometry

Lattice parameters (Å, degrees): 2.803 4.155 6.164 90.00 90.00 90.00
Space group Pmm2 (No. 25)
Symmetry-distinct sites (fractional):
Mo  0.000  0.000  0.000 x1
Mo  0.500  0.500  0.201 x1
Au  0.000  0.000  0.450 x1
Cl  0.500  0.500  0.821 x1

Output
Total energy   -6.2098 eV/atom
N(E_F)   3.14 states/eV/cell
Polymorph energy (0 for the lowest one)   0.306 eV/atom
Uncorrected formation energy   0.487 eV/atom

***

Material: Mo2AuCl
Method: DFT, PBE-GGA
State: optimized geometry

Lattice parameters (Å, degrees): 3.280 4.866 9.313 90.00 90.00 90.00
Space group Cmm2 (No. 35)
Symmetry-distinct sites (fractional):
Mo  0.000  0.000  0.000 x2
Mo  0.000  0.500  0.205 x2
Au  0.000  0.500  0.752 x2
Cl  0.000  0.000  0.420 x2

Output
Total energy   -6.4814 eV/atom
N(E_F)   5.90 states/eV/cell
Polymorph energy (0 for the lowest one)   0.034 eV/atom
Uncorrected formation energy   0.215 eV/atom

***

Material: Mo2AuCl
Method: DFT, PBE-GGA
State: optimized geometry

Lattice parameters (Å, degrees): 12.507 3.102 4.802 90.00 99.27 90.00
Space group Cm (No. 8)
Symmetry-distinct sites (fractional):
Mo  0.000  0.000  0.000 x2
Mo  0.145  0.500  0.075 x2
Au  0.117  0.000  0.559 x2
Cl  0.355  0.000  0.183 x2

Output
Total energy   -6.3230 eV/atom
N(E_F)   4.13 states/eV/cell
Polymorph energy (0 for the lowest one)   0.193 eV/atom
Uncorrected formation energy   0.374 eV/atom

***

Material: MoAu2Cl
Method: DFT, PBE-GGA
State: optimized geometry

Lattice parameters (Å, degrees): 4.685 2.880 5.591 90.00 105.40 90.00
Space group P2/m (No. 10)
Symmetry-distinct sites (fractional):
Mo  0.000  0.000  0.000 x1
Au  0.000  0.500  0.500 x1
Au  0.500  0.000  0.500 x1
Cl  0.500  0.500  0.000 x1

Output
Total energy   -4.2946 eV/atom
N(E_F)   2.74 states/eV/cell
Polymorph energy (0 for the lowest one)   0.362 eV/atom
Uncorrected formation energy   0.514 eV/atom

***

Material: Mo2AuCl
Method: DFT, PBE-GGA
State: optimized geometry

Lattice parameters (Å, degrees): 2.802 4.734 5.247 90.00 90.00 90.00
Space group Pmmm (No. 47)
Symmetry-distinct sites (fractional):
Mo  0.000  0.000  0.000 x1
Mo  0.500  0.000  0.500 x1
Au  0.000  0.500  0.500 x1
Cl  0.500  0.500  0.000 x1

Output
Total energy   -5.8824 eV/atom
N(E_F)   4.73 states/eV/cell
Polymorph energy (0 for the lowest one)   0.633 eV/atom
Uncorrected formation energy   0.814 eV/atom

***

Material: Mo2AuCl
Method: DFT, PBE-GGA
State: optimized geometry

Lattice parameters (Å, degrees): 4.791 2.798 5.527 90.00 115.59 90.00
Space group P2/m (No. 10)
Symmetry-distinct sites (fractional):
Mo  0.000  0.000  0.000 x1
Mo  0.500  0.500  0.500 x1
Au  0.000  0.000  0.500 x1
Cl  0.500  0.500  0.000 x1

Output
Total energy   -5.9988 eV/atom
N(E_F)   4.36 states/eV/cell
Polymorph energy (0 for the lowest one)   0.517 eV/atom
Uncorrected formation energy   0.698 eV/atom

***

Material: Mo2AuCl
Method: DFT, PBE-GGA
State: optimized geometry

Lattice parameters (Å, degrees): 2.784 4.041 5.891 90.00 90.00 90.00
Space group Pmmm (No. 47)
Symmetry-distinct sites (fractional):
Mo  0.000  0.000  0.245 x2
Au  0.500  0.500  0.500 x1
Cl  0.000  0.500  0.000 x1

Output
Total energy   -6.2103 eV/atom
N(E_F)   2.75 states/eV/cell
Polymorph energy (0 for the lowest one)   0.305 eV/atom
Uncorrected formation energy   0.486 eV/atom

***

Material: MoAuCl
Method: DFT, PBE-GGA
State: optimized geometry

Lattice parameters (Å, degrees): 6.171 6.171 6.171 90.00 90.00 90.00
Space group F-43m (No. 216)
Symmetry-distinct sites (fractional):
Mo  0.000  0.000  0.000 x4
Au  0.250  0.250  0.250 x4
Cl  0.250  0.250  0.750 x4

Output
Total energy   -4.6561 eV/atom
N(E_F)   4.82 states/eV/cell
Polymorph energy (0 for the lowest one)   0.591 eV/atom
Uncorrected formation energy   0.662 eV/atom

***

Material: MoAu2Cl
Method: DFT, PBE-GGA
State: optimized geometry

Lattice parameters (Å, degrees): 2.862 4.218 6.047 90.00 103.40 90.00
Space group Pm (No. 6)
Symmetry-distinct sites (fractional):
Mo  0.000  0.000  0.000 x1
Au  0.253  0.000  0.509 x1
Au  0.632  0.500  0.268 x1
Cl  0.908  0.500  0.812 x1

Output
Total energy   -4.5127 eV/atom
N(E_F)   1.98 states/eV/cell
Polymorph energy (0 for the lowest one)   0.144 eV/atom
Uncorrected formation energy   0.295 eV/atom

***

Material: Mo2AuCl
Method: DFT, PBE-GGA
State: optimized geometry

Lattice parameters (Å, degrees): 10.085 3.113 7.633 90.00 127.80 90.00
Space group C2/m (No. 12)
Symmetry-distinct sites (fractional):
Mo  0.222  0.000  0.364 x4
Au  0.000  0.000  0.500 x2
Cl  0.000  0.500  0.000 x2

Output
Total energy   -6.3888 eV/atom
N(E_F)   2.73 states/eV/cell
Polymorph energy (0 for the lowest one)   0.127 eV/atom
Uncorrected formation energy   0.308 eV/atom